VASP calculation (GGA-PBE) on an optimized crystal structure of LiYZr.

Cell and atoms, written as POSCAR:
```
LiYZr
1.0
3.252 0.000 0.000
0.000 5.002 0.000
-0.014 0.000 9.007
Li Y Zr
2 2 2
Direct
0.247 0.250 0.253
0.753 0.750 0.747
0.251 0.250 0.875
0.749 0.750 0.125
0.250 0.750 0.455
0.750 0.250 0.545
```

Summary:
**Size of the total moment**: 0.000 Bohr magnetons per cell
**E_tot**: -5.454 eV per atom
**Energy relative to the lowest polymorph listed for this composition**: 120 meV per atom
**N(E_F)**: 2.4 states/eV/f.u.